# 1
This record from Alexandria via LeMat-Bulk describes crystalline SmNbTe at its relaxed geometry. The functional is PBE.

a b c (Å): 11.296 3.785 8.009
angles (deg): 90.00 110.00 90.00
Space group C2/m (No. 12)
One atom of each set of equivalent atoms:
Sm 0.096 0.000 0.260 [4 per cell]
Nb 0.152 0.500 0.949 [4 per cell]
Te 0.166 0.000 0.689 [4 per cell]

Computed properties:
Raw formation energy in meV/atom: -492

# 2
This record from Alexandria via LeMat-Bulk describes crystalline TmHg2Pb at its relaxed geometry. The functional is PBE.

a b c (Å): 4.547 4.547 4.851
angles (deg): 90.00 90.00 90.00
Space group P4/mmm (No. 123)
One atom of each set of equivalent atoms:
Tm 0.000 0.000 0.000 [1 per cell]
Hg 0.000 0.500 0.500 [2 per cell]
Pb 0.500 0.500 0.000 [1 per cell]

Computed properties:
Energy relative to the elements in eV/atom: -0.289

| no. | raw total energy (eV per atom) |
| --- | --- |
| 1 | -6.4689 |
| 2 | -2.4853 |